# LiFeF3, relaxed, DFT GGA+U
# spin magnetization = 4.0 μB per cell
# offset from the most stable computed form = 655.0 meV per atom
data_LiFeF3
_chemical_formula_sum 'Li1 Fe1 F3'
_cell_length_a 3.653
_cell_length_b 3.653
_cell_length_c 3.653
_cell_angle_alpha 90.00
_cell_angle_beta 90.00
_cell_angle_gamma 90.00
_space_group_name_H-M_alt 'P m -3 m'
_space_group_IT_number 221
_space_group_name_Hall '-P 4 2 3'
loop_
_atom_site_label
_atom_site_fract_x
_atom_site_fract_y
_atom_site_fract_z
Li1 0.000 0.000 0.000
Fe1 0.500 0.500 0.500
F1 0.000 0.000 0.500